Entry from Alexandria: crystalline PmY6HoTm2 at its relaxed geometry (GGA-PBE). Values from VASP.

```
&SYSTEM
  ibrav = 0, nat = 20, ntyp = 4
/
ATOMIC_SPECIES
Pm 145.00 Pm.upf
Y 88.91 Y.upf
Ho 164.93 Ho.upf
Tm 168.93 Tm.upf
CELL_PARAMETERS angstrom
4.5692 -7.4573 0.0000
4.5692 7.4573 0.0000
-1.3881 0.0000 9.5149
ATOMIC_POSITIONS crystal
Pm 0.0932 0.9068 0.7500
Pm 0.9068 0.0932 0.2500
Y 0.0063 0.7947 0.3817
Y 0.0708 0.5204 0.1820
Y 0.2053 0.9937 0.1183
Y 0.2543 0.6180 0.5558
Y 0.3820 0.7457 0.9442
Y 0.4796 0.9292 0.3180
Y 0.5204 0.0708 0.6820
Y 0.6180 0.2543 0.0558
Y 0.7457 0.3820 0.4442
Y 0.7947 0.0063 0.8817
Y 0.9292 0.4796 0.8180
Y 0.9937 0.2053 0.6183
Ho 0.4744 0.5256 0.2500
Ho 0.5256 0.4744 0.7500
Tm 0.2057 0.3065 0.9533
Tm 0.3065 0.2057 0.4533
Tm 0.6935 0.7943 0.5467
Tm 0.7943 0.6935 0.0467
```

VASP energy (eV per atom): -5.584
Total magnetization (μB/f.u.): 0.00